Here is a relaxed RbUFe2O8 crystal from Alexandria via LeMat-Bulk. Energies are from PBE+U.

Magnetic moment (μB per atom): 0.583
SG: P-3
Electronic total energy (eV for the cell shown): -82.44

POSCAR file:
```
RbUFe2O8
1.0
5.843 0.000 0.000
-2.921 5.060 0.000
0.000 0.000 7.980
Rb U Fe O
1 1 2 8
direct
0.000 0.000 0.000 Rb
0.000 0.000 0.500 U
0.333 0.667 0.729 Fe
0.667 0.333 0.271 Fe
0.154 0.323 0.656 O
0.169 0.846 0.656 O
0.323 0.169 0.344 O
0.333 0.667 0.939 O
0.667 0.333 0.061 O
0.677 0.831 0.656 O
0.831 0.154 0.344 O
0.846 0.677 0.344 O
```